--- P ---
# K2SiS (PBE, optimized geometry)
data_K2SiS
_chemical_formula_sum 'K8 Si4 S4'
_cell_length_a 12.0164
_cell_length_b 12.0164
_cell_length_c 4.6687
_cell_angle_alpha 90.00
_cell_angle_beta 90.00
_cell_angle_gamma 90.00
_symmetry_space_group_name_H-M 'I -4 2 d'
_symmetry_Int_Tables_number 122
_symmetry_space_group_name_Hall 'I -4 2bw'
loop_
_atom_site_label
_atom_site_type_symbol
_atom_site_fract_x
_atom_site_fract_y
_atom_site_fract_z
K1 K 0.0468 0.7500 0.1250
Si1 Si 0.0000 0.0000 0.5000
S1 S 0.0000 0.0000 0.0000
# - crystal system = tetragonal


--- Q ---
# K2SiS (PBE, optimized geometry)
data_K2SiS
_chemical_formula_sum 'K8 Si4 S4'
_cell_length_a 7.8208
_cell_length_b 7.8208
_cell_length_c 7.8208
_cell_angle_alpha 90.00
_cell_angle_beta 90.00
_cell_angle_gamma 90.00
_symmetry_space_group_name_H-M 'F m -3 m'
_symmetry_Int_Tables_number 225
_symmetry_space_group_name_Hall '-F 4 2 3'
loop_
_atom_site_label
_atom_site_type_symbol
_atom_site_fract_x
_atom_site_fract_y
_atom_site_fract_z
K1 K 0.2500 0.2500 0.2500
Si1 Si 0.0000 0.0000 0.0000
S1 S 0.0000 0.0000 0.5000
# - crystal system = cubic


Relative energies, unit eV/atom: P 0.000; Q 0.245